No. 1
RbTmTl2Cl6: relaxed, PBE-GGA.

Summary:
- mass density (g cm⁻³) = 4.08
- Fermi-level density of states (states/eV per cell) = 0.0
- E_tot (eV for the cell shown) = -116.2
- E_form (uncorrected) (eV/f.u.) = -17.467

Unit cell a=7.8513 b=7.8513 c=20.0538 alpha=90.00 beta=90.00 gamma=120.00
With the nearest neighbours (Å) after each atom.
Space group R3 (No. 146, hexagonal axes)
Inequivalent atoms, fractional coordinates:
Rb 0.0000 0.0000 0.0000  6 Cl 3.22-3.37
Tm 0.0000 0.0000 0.4907  6 Cl 2.61-2.64
Tl 0.0000 0.0000 0.2826  6 Cl 3.26-3.31
Tl 0.0000 0.0000 0.7909  6 Cl 3.18-3.34
Cl 0.0325 0.4120 0.2273  1 Tm 2.61
Cl 0.0794 0.6838 0.0753  1 Tm 2.64


No. 2
Dy11Cd9Rh4: relaxed, PBE-GGA.

Summary:
- energy relative to the elements (eV/atom) = -0.54
- mass density (g cm⁻³) = 9.24
- Fermi-level density of states (states/eV per cell) = 35.1
- E_tot (eV for the cell shown) = -202.2

Unit cell a=14.4384 b=21.6917 c=3.6834 alpha=90.00 beta=90.00 gamma=90.00
With the nearest neighbours (Å) after each atom.
Space group Cmmm (No. 65)
Inequivalent atoms, fractional coordinates:
Dy 0.0000 0.0000 0.0000  8 Cd 3.17, 2 Dy 3.51
Dy 0.0000 0.1618 0.0000  8 Cd 3.20-3.36, 1 Dy 3.51
Dy 0.0000 0.3701 0.0000  4 Rh 2.89
Dy 0.1959 0.5000 0.0000  4 Rh 2.92
Dy 0.2494 0.1670 0.0000  2 Rh 2.79
Cd 0.0000 0.5000 0.5000  4 Rh 3.02, 8 Dy 3.37-3.38
Cd 0.1065 0.2597 0.5000  1 Cd 3.08, 1 Rh 3.12, 8 Dy 3.20-3.42
Cd 0.1415 0.0726 0.5000  1 Rh 3.11, 1 Cd 3.15, 8 Dy 3.17-3.37
Rh 0.1469 0.4009 0.5000  6 Dy 2.79-2.92, 3 Cd 3.02-3.12


No. 3
ZnCd2Si: relaxed, PBE-GGA.

Summary:
- mass density (g cm⁻³) = 6.69
- Fermi-level density of states (states/eV per cell) = 1.5
- E_tot (eV for the cell shown) = -14.8
- E_form (uncorrected) (eV/f.u.) = 1.129

Unit cell a=2.8394 b=5.4846 c=10.1502 alpha=90.00 beta=90.00 gamma=90.00
With the nearest neighbours (Å) after each atom.
Space group Cmmm (No. 65)
Inequivalent atoms, fractional coordinates:
Zn 0.0000 0.0000 0.0000  6 Zn 2.84-3.09, 4 Cd 2.87
Cd 0.0000 0.5000 0.2460  6 Cd 2.84-3.09, 2 Zn 2.87, 2 Si 2.94
Si 0.0000 0.0000 0.5000  6 Si 2.84-3.09, 4 Cd 2.94


No. 4
Ba2NaAgPt: relaxed, PBE-GGA.

Summary:
- energy relative to the elements (eV/atom) = -0.26
- mass density (g cm⁻³) = 4.98
- Fermi-level density of states (states/eV per cell) = 3.2
- E_tot (eV for the cell shown) = -15.3

Unit cell a=6.1095 b=6.1095 c=5.3620 alpha=90.00 beta=90.00 gamma=90.00
With the nearest neighbours (Å) after each atom.
Space group P4/mmm (No. 123)
Inequivalent atoms, fractional coordinates:
Ba 0.0000 0.5000 0.0000  2 Pt 3.05
Na 0.0000 0.0000 0.5000  8 Ba 4.06, 4 Ag 4.32
Ag 0.5000 0.5000 0.5000  2 Pt 2.68
Pt 0.5000 0.5000 0.0000  2 Ag 2.68


No. 5
Pr2ErF11: relaxed, PBE-GGA.

Summary:
- mass density (g cm⁻³) = 4.23
- Fermi-level density of states (states/eV per cell) = 45.0
- E_tot (eV for the cell shown) = -329.4
- E_form (uncorrected) (eV/f.u.) = -47.652

Unit cell a=8.7428 b=10.4833 c=11.2866 alpha=90.00 beta=90.00 gamma=90.00
With the nearest neighbours (Å) after each atom.
Space group Ibam (No. 72)
Inequivalent atoms, fractional coordinates:
Pr 0.1661 0.1911 0.0000  7 F 2.32-2.47
Er 0.0000 0.5000 0.2500  8 F 2.25-2.26
F 0.0000 0.0000 0.0000  2 F 2.16
F 0.0978 0.3328 0.1490  1 Er 2.26, 1 Pr 2.32
F 0.1056 0.1859 0.5000  1 F 2.16, 2 Pr 2.38
F 0.1929 0.4285 0.3648  1 Er 2.25, 1 Pr 2.33


Which value of E_tot does entry 5 give?
-329.4 eV for the cell shown


Number 1 is which compound?
RbTmTl2Cl6